Entry from OQMD via LeMat-Bulk: a relaxed NbAgSeO crystal (GGA-PBE).

a = 3.5763 Å, b = 3.5763 Å, c = 10.9750 Å
α = 90.00°, β = 90.00°, γ = 90.00°
Atoms (fractional coordinates):
Se (0.7500, 0.7500, 0.2352)
Se (0.2500, 0.2500, 0.7648)
Nb (0.7500, 0.7500, 0.8894)
Nb (0.2500, 0.2500, 0.1106)
O (0.7500, 0.2500, 0.0000)
O (0.2500, 0.7500, 0.0000)
Ag (0.2500, 0.7500, 0.5000)
Ag (0.7500, 0.2500, 0.5000)

Properties
Size of the total moment (μB/f.u.): 1.0
Crystal system: tetragonal
Space-group type: P4/nmm (129)
E above lowest polymorph (meV/atom): 39